Hf3HgC: optimized geometry, PBE-GGA.

Values from the calculation:
ρ: 12.82 Mg/m³
formation enthalpy at 0 K: 0.089 eV/atom
E_tot: -7.7885 eV/atom
energy above the lowest structure with this stoichiometry: 57.6 kJ/mol of atoms

Cell and atoms, written as POSCAR:
```
Hf3HgC
1.0
5.394 -5.527 0.000
5.394 5.527 0.000
-0.293 0.000 6.501
Hf Hg C
12 4 4
Direct
0.074 0.485 0.237
0.118 0.146 0.951
0.146 0.118 0.451
0.241 0.755 0.517
0.245 0.759 0.983
0.485 0.074 0.737
0.515 0.926 0.263
0.755 0.241 0.017
0.759 0.245 0.483
0.854 0.882 0.549
0.882 0.854 0.049
0.926 0.515 0.763
0.297 0.416 0.727
0.416 0.297 0.227
0.584 0.703 0.773
0.703 0.584 0.273
0.090 0.910 0.750
0.355 0.645 0.250
0.645 0.355 0.750
0.910 0.090 0.250
```